1.
## ReSbPt2 (PBEsol)

Data for a relaxed structure of ReSbPt2.

Geometry as POSCAR:
```
ReSbPt2
1.0
-0.4927 -0.9442 -2.7610
1.6368 -2.1921 -1.1284
-5.3487 -6.8769 1.7203
Pt Sb Re
2 1 1
Direct
0.0000 0.0000 0.0000
0.7531 0.7531 0.7407
0.2502 0.2502 0.2493
0.4967 0.4967 0.5100
```

Results
Symmetry: R3m (160)
Total moment (μB per formula unit): 0.00
E_form (uncorrected) (kJ/mol of atoms): 30.6
Raw total energy (eV per atom): -7.64
Crystal system: trigonal



2.
## ReSbPt2 (PBEsol)

Data for a relaxed structure of ReSbPt2.

Geometry as POSCAR:
```
ReSbPt2
1.0
-1.3172 2.1086 1.2666
0.9515 -2.0188 4.3503
4.2039 2.4856 0.2340
Re Pt Sb
1 2 1
Direct
0.5000 0.5000 0.5000
0.0000 0.0000 0.5000
0.0000 0.5000 0.0000
0.5000 0.0000 0.0000
```

Results
Symmetry: P4/mmm (123)
Total moment (μB per formula unit): 0.27
E_form (uncorrected) (kJ/mol of atoms): 29.3
Raw total energy (eV per atom): -7.65
Crystal system: tetragonal



3.
## ReSb2TePt (PBEsol)

Data for a relaxed structure of ReSb2TePt.

Geometry as POSCAR:
```
ReSb2TePt
1.0
5.0529 0.0000 0.0000
0.0000 5.0529 0.0000
0.0000 0.0000 5.2386
Pt Sb Re Te
1 2 1 1
Direct
0.0000 0.0000 0.0000
0.0000 0.5000 0.0000
0.5000 0.0000 0.0000
0.5000 0.5000 0.5000
0.0000 0.0000 0.5000
```

Results
Energy above the most stable polymorph in this dataset (eV/atom): 0.403
Symmetry: P4/mmm (123)
Total moment (μB per formula unit): 2.74
E_form (uncorrected) (kJ/mol of atoms): 138.2
Raw total energy (eV per atom): -5.15
Crystal system: tetragonal



4.
## ReSb2TePt (PBEsol)

Data for a relaxed structure of ReSb2TePt.

Geometry as POSCAR:
```
ReSb2TePt
1.0
5.0326 0.0000 0.0000
0.0000 5.0584 0.0000
0.0000 0.0000 5.0584
Re Sb Te Pt
1 2 1 1
Direct
0.0000 0.0000 0.0000
0.0000 0.5000 0.0000
0.0000 0.0000 0.5000
0.5000 0.0000 0.0000
0.5000 0.5000 0.5000
```

Results
Energy above the most stable polymorph in this dataset (eV/atom): 0.000
Symmetry: P4/mmm (123)
Total moment (μB per formula unit): 0.00
E_form (uncorrected) (kJ/mol of atoms): 99.4
Raw total energy (eV per atom): -5.56
Crystal system: tetragonal



5.
## ScRePt (PBEsol)

Data for a relaxed structure of ScRePt.

Geometry as POSCAR:
```
ScRePt
1.0
4.3161 0.0000 0.0000
2.1581 3.7379 0.0000
2.1581 1.2460 3.5241
Re Sc Pt
1 1 1
Direct
0.0000 0.0000 0.0000
0.5000 0.5000 0.5000
0.2500 0.2500 0.2500
```

Results
Energy relative to the elements (eV/atom): 0.2201
Symmetry: F-43m (216)
Total moment (μB per formula unit): 0.00
Raw total energy (eV per atom): -8.75
Crystal system: cubic



6.
## Sc2RePt (PBEsol)

Data for a relaxed structure of Sc2RePt.

Geometry as POSCAR:
```
Sc2RePt
1.0
3.0533 0.0000 0.0000
1.5267 2.6442 0.0000
1.5267 0.8814 8.4973
Sc Pt Re
2 1 1
Direct
0.2521 0.2521 0.2438
0.7479 0.7479 0.7562
0.5000 0.5000 0.5000
0.0000 0.0000 0.0000
```

Results
Energy relative to the elements (eV/atom): -0.2298
Symmetry: R-3m (166)
Total moment (μB per formula unit): 0.00
Raw total energy (eV per atom): -8.61
Crystal system: trigonal



7.
## Sc2RePt (PBEsol)

Data for a relaxed structure of Sc2RePt.

Geometry as POSCAR:
```
Sc2RePt
1.0
3.5093 0.0000 0.0000
0.0000 3.5093 0.0000
0.0000 0.0000 5.7170
Sc Re Pt
2 1 1
Direct
0.5000 0.5000 0.2866
0.0000 0.0000 0.9620
0.5000 0.5000 0.7753
0.0000 0.0000 0.4761
```

Results
Energy relative to the elements (eV/atom): -0.1691
Symmetry: P4mm (99)
Total moment (μB per formula unit): 0.00
Raw total energy (eV per atom): -8.55
Crystal system: tetragonal



8.
## Sc2RePt (PBEsol)

Data for a relaxed structure of Sc2RePt.

Geometry as POSCAR:
```
Sc2RePt
1.0
2.8215 0.0000 0.0000
0.0000 2.8215 0.0000
0.0000 0.0000 8.8427
Pt Sc Re
1 2 1
Direct
0.0000 0.0000 0.5171
0.5000 0.5000 0.2839
0.0000 0.0000 0.9693
0.5000 0.5000 0.7297
```

Results
Energy relative to the elements (eV/atom): -0.1744
Symmetry: P4mm (99)
Total moment (μB per formula unit): 0.00
Raw total energy (eV per atom): -8.55
Crystal system: tetragonal



9.
## ScRe2Pt (PBEsol)

Data for a relaxed structure of ScRe2Pt.

Geometry as POSCAR:
```
ScRe2Pt
1.0
-1.0953 -0.7203 3.7975
3.2847 -2.5236 0.4687
0.9448 4.4868 -1.0014
Re Pt Sc
2 1 1
Direct
0.0072 0.0072 0.0144
0.7452 0.2452 0.4903
0.2509 0.7509 0.5019
0.4967 0.4967 0.9935
```

Results
Energy relative to the elements (eV/atom): -0.1590
Symmetry: Imm2 (44)
Total moment (μB per formula unit): 0.00
Raw total energy (eV per atom): -10.22
Crystal system: orthorhombic



10.
## Sc2RePt (PBEsol)

Data for a relaxed structure of Sc2RePt.

Geometry as POSCAR:
```
Sc2RePt
1.0
-1.8107 2.1507 -2.6485
-3.1053 0.2031 2.2879
4.1155 2.5784 2.0966
Pt Re Sc
1 1 2
Direct
0.5000 0.5000 0.0000
0.2500 0.7500 0.5000
0.7500 0.2500 0.5000
0.0000 0.0000 0.0000
```

Results
Energy relative to the elements (eV/atom): -0.3713
Symmetry: I-4m2 (119)
Total moment (μB per formula unit): 0.00
Raw total energy (eV per atom): -8.75
Crystal system: tetragonal



11.
## Re2PtSe (PBEsol)

Data for a relaxed structure of Re2PtSe.

Geometry as POSCAR:
```
Re2PtSe
1.0
2.8181 0.0000 -0.0037
0.0000 4.1954 0.0000
-1.4082 0.0000 5.0733
Re Pt Se
2 1 1
Direct
0.5610 0.5000 0.2480
0.9435 0.0000 0.0109
0.3067 0.5000 0.7381
0.6888 0.0000 0.5029
```

Results
Symmetry: Amm2 (38)
Total moment (μB per formula unit): 0.00
E_form (uncorrected) (kJ/mol of atoms): 32.5
Raw total energy (eV per atom): -9.03
Crystal system: orthorhombic



12.
## Re2PtSe (PBEsol)

Data for a relaxed structure of Re2PtSe.

Geometry as POSCAR:
```
Re2PtSe
1.0
2.8109 0.0000 0.0000
0.0000 3.8883 0.0000
0.0000 0.0000 5.7198
Re Se Pt
2 1 1
Direct
0.5000 0.5000 0.2340
0.0000 0.0000 0.0302
0.0000 0.0000 0.4635
0.5000 0.5000 0.7723
```

Results
Symmetry: Pmm2 (25)
Total moment (μB per formula unit): 0.00
E_form (uncorrected) (kJ/mol of atoms): 34.1
Raw total energy (eV per atom): -9.02
Crystal system: orthorhombic